# 1
{"formula": "SmDyGaAg", "functional": "PBE", "state": "optimized geometry", "lattice": [[0.000, 3.655, 3.655], [3.655, 0.000, 3.655], [3.655, 3.655, 0.000]], "species": ["Sm", "Dy", "Ga", "Ag"], "frac_coords": [[0.000, 0.000, 0.000], [0.500, 0.500, 0.500], [0.750, 0.750, 0.750], [0.250, 0.250, 0.250]], "crystal_system": "cubic", "m_tot_mub_per_fu": 0.002, "formation_energy_ev_per_atom": -0.44, "sg": "No. 216"}


# 2
{"formula": "PmNpSc", "functional": "PBE", "state": "optimized geometry", "lattice": [[7.929, -1.748, 0.000], [7.929, 1.748, 0.000], [-0.613, 0.000, 5.755]], "species": ["Pm", "Pm", "Np", "Np", "Sc", "Sc"], "frac_coords": [[0.102, 0.102, 0.347], [0.898, 0.898, 0.653], [0.242, 0.242, 0.859], [0.758, 0.758, 0.141], [0.417, 0.417, 0.154], [0.583, 0.583, 0.846]], "crystal_system": "monoclinic", "m_tot_mub_per_fu": 0.000, "formation_energy_ev_per_atom": 0.23, "sg": "No. 12"}


# 3
{"formula": "KGeBi3", "functional": "PBE", "state": "optimized geometry", "lattice": [[5.699, 0.000, 0.000], [0.000, 5.699, 0.000], [0.000, 0.000, 5.699]], "species": ["K", "Ge", "Bi", "Bi", "Bi"], "frac_coords": [[0.000, 0.000, 0.000], [0.500, 0.500, 0.500], [0.000, 0.500, 0.500], [0.500, 0.000, 0.500], [0.500, 0.500, 0.000]], "crystal_system": "cubic", "e_above_lowest_polymorph_kj_per_mol_atoms": 0.0, "m_tot_mub_per_fu": 0.000, "formation_energy_ev_per_atom": 0.24, "sg": "No. 221"}


# 4
{"formula": "K2OsW2", "functional": "PBE", "state": "optimized geometry", "lattice": [[6.378, 0.000, 0.000], [0.000, 6.378, 0.000], [0.000, 0.000, 6.213]], "species": ["K", "K", "K", "K", "Os", "Os", "W", "W", "W", "W"], "frac_coords": [[0.192, 0.308, 0.000], [0.308, 0.808, 0.000], [0.692, 0.192, 0.000], [0.808, 0.692, 0.000], [0.000, 0.000, 0.500], [0.500, 0.500, 0.500], [0.135, 0.635, 0.500], [0.365, 0.135, 0.500], [0.635, 0.865, 0.500], [0.865, 0.365, 0.500]], "crystal_system": "tetragonal", "e_above_lowest_polymorph_kj_per_mol_atoms": 0.0, "m_tot_mub_per_fu": 0.000, "formation_energy_ev_per_atom": 1.18, "sg": "No. 127"}


# 5
{"formula": "Na8InGa2", "functional": "PBE", "state": "optimized geometry", "lattice": [[4.749, -6.058, 0.000], [4.749, 6.058, 0.000], [-1.884, 0.000, 5.664]], "species": ["Na", "Na", "Na", "Na", "Na", "Na", "Na", "Na", "In", "Ga", "Ga"], "frac_coords": [[0.041, 0.337, 0.635], [0.203, 0.203, 0.156], [0.244, 0.756, 0.000], [0.337, 0.041, 0.635], [0.663, 0.959, 0.365], [0.756, 0.244, 0.000], [0.797, 0.797, 0.844], [0.959, 0.663, 0.365], [0.500, 0.500, 0.000], [0.390, 0.610, 0.500], [0.610, 0.390, 0.500]], "crystal_system": "monoclinic", "m_tot_mub_per_fu": 0.000, "formation_energy_ev_per_atom": 0.00, "sg": "No. 12"}


# 6
{"formula": "Sc8Al2Fe", "functional": "PBE", "state": "optimized geometry", "lattice": [[8.095, -2.357, 0.000], [8.095, 2.357, 0.000], [-0.722, 0.000, 6.111]], "species": ["Sc", "Sc", "Sc", "Sc", "Sc", "Sc", "Sc", "Sc", "Al", "Al", "Fe"], "frac_coords": [[0.027, 0.027, 0.281], [0.216, 0.216, 0.139], [0.347, 0.347, 0.583], [0.410, 0.410, 0.111], [0.590, 0.590, 0.889], [0.653, 0.653, 0.417], [0.784, 0.784, 0.861], [0.973, 0.973, 0.719], [0.166, 0.166, 0.674], [0.834, 0.834, 0.326], [0.500, 0.500, 0.500]], "crystal_system": "monoclinic", "m_tot_mub_per_fu": 0.000, "formation_energy_ev_per_atom": -0.19, "sg": "No. 12"}


# 7
{"formula": "BaMgGaAg", "functional": "PBE", "state": "optimized geometry", "lattice": [[0.000, 3.772, 3.772], [3.772, 0.000, 3.772], [3.772, 3.772, 0.000]], "species": ["Ba", "Mg", "Ga", "Ag"], "frac_coords": [[0.000, 0.000, 0.000], [0.500, 0.500, 0.500], [0.250, 0.250, 0.250], [0.750, 0.750, 0.750]], "crystal_system": "cubic", "e_above_lowest_polymorph_kj_per_mol_atoms": 11.4, "m_tot_mub_per_fu": 0.000, "formation_energy_ev_per_atom": -0.15, "sg": "No. 216"}


# 8
{"formula": "TcTe2W", "functional": "PBE", "state": "optimized geometry", "lattice": [[-3.030, 3.030, 5.997], [3.030, -3.030, 5.997], [3.030, 3.030, -5.997]], "species": ["Tc", "Tc", "Te", "Te", "Te", "Te", "W", "W"], "frac_coords": [[0.000, 0.000, 0.000], [0.750, 0.250, 0.500], [0.115, 0.625, 0.990], [0.375, 0.365, 0.490], [0.635, 0.125, 0.010], [0.875, 0.885, 0.510], [0.250, 0.750, 0.500], [0.500, 0.500, 0.000]], "crystal_system": "tetragonal", "e_above_lowest_polymorph_kj_per_mol_atoms": 79.8, "m_tot_mub_per_fu": 1.533, "formation_energy_uncorrected_mev_per_atom": 996, "sg": "No. 122"}


| no. | DOS(E_F) (states/eV per cell) | energy (eV per atom) |
| --- | --- | --- |
| 1 | 3.66 | -4.24 |
| 2 | 12.29 | -7.78 |
| 3 | 4.40 | -3.24 |
| 4 | 5.60 | -6.68 |
| 5 | 4.23 | -1.75 |
| 6 | 9.93 | -6.24 |
| 7 | 3.33 | -2.50 |
| 8 | 7.94 | -6.41 |